{
  "formula": "Sr6CdAg2",
  "functional": "GGA-PBE",
  "state": "optimized geometry",
  "e_tot_ev_per_atom": -2.0691,
  "dos_at_fermi_per_ev_fu": 9.3,
  "vol_a3_per_atom": 39.1,
  "sg": "Immm",
  "cell": [[-6.276, -6.928, -2.707], [5.047, -2.248, 8.012], [-4.674, 8.201, 2.370]],
  "species": ["Ag", "Ag", "Ag", "Ag", "Sr", "Sr", "Sr", "Sr", "Sr", "Sr", "Sr", "Sr", "Sr", "Sr", "Sr", "Sr", "Cd", "Cd"],
  "fractional_positions": [[0.500, 0.622, 0.122], [0.500, 0.378, 0.878], [0.661, 0.000, 0.661], [0.339, 0.000, 0.339], [0.808, 0.242, 0.051], [0.306, 0.638, 0.332], [0.899, 0.719, 0.180], [0.462, 0.281, 0.180], [0.192, 0.758, 0.949], [0.694, 0.026, 0.332], [0.538, 0.719, 0.820], [0.694, 0.362, 0.668], [0.306, 0.974, 0.668], [0.192, 0.242, 0.434], [0.808, 0.758, 0.566], [0.101, 0.281, 0.820], [0.000, 0.500, 0.500], [0.000, 0.000, 0.000]]
}


{
  "formula": "BaSrW2",
  "functional": "GGA-PBE",
  "state": "optimized geometry",
  "dos_at_fermi_per_ev_fu": 5.5,
  "vol_a3_per_atom": 27.5,
  "sg": "I-42d",
  "relative_energy_mev_per_atom": 1386,
  "cell": [[8.809, 0.000, 0.000], [0.000, 8.809, 0.000], [4.405, 4.405, 2.834]],
  "species": ["Ba", "Ba", "W", "W", "W", "W", "Sr", "Sr"],
  "fractional_positions": [[0.750, 0.250, 0.500], [0.000, 0.000, 0.000], [0.375, 0.376, 0.750], [0.875, 0.874, 0.750], [0.624, 0.125, 0.250], [0.126, 0.625, 0.250], [0.250, 0.750, 0.500], [0.500, 0.500, 0.000]]
}


{
  "formula": "Rb2SnCl4",
  "functional": "GGA-PBE",
  "state": "optimized geometry",
  "dos_at_fermi_per_ev_fu": 0.0,
  "vol_a3_per_atom": 35.7,
  "sg": "P2_1/m",
  "relative_energy_mev_per_atom": 7,
  "cell": [[-6.299, 3.034, 0.545], [-2.740, -4.633, -5.866], [-0.887, -3.525, 9.369]],
  "species": ["Cl", "Cl", "Cl", "Cl", "Cl", "Cl", "Cl", "Cl", "Sn", "Sn", "Rb", "Rb", "Rb", "Rb"],
  "fractional_positions": [[0.000, 0.407, 0.244], [0.750, 0.209, 0.879], [0.250, 0.918, 0.616], [0.750, 0.082, 0.384], [0.250, 0.791, 0.121], [0.500, 0.593, 0.756], [0.500, 0.407, 0.244], [0.000, 0.593, 0.756], [0.750, 0.154, 0.132], [0.250, 0.846, 0.868], [0.250, 0.338, 0.914], [0.250, 0.200, 0.437], [0.750, 0.800, 0.563], [0.750, 0.662, 0.086]]
}


{
  "formula": "ReSiAs3",
  "functional": "GGA-PBE",
  "state": "optimized geometry",
  "dos_at_fermi_per_ev_fu": 5.3,
  "vol_a3_per_atom": 22.5,
  "sg": "Pm-3m",
  "relative_energy_mev_per_atom": 0,
  "cell": [[-2.638, 0.368, -4.030], [-0.224, -4.817, -0.293], [-4.041, 0.027, 2.648]],
  "species": ["As", "As", "As", "Si", "Re"],
  "fractional_positions": [[0.500, 0.000, 0.000], [0.000, 0.500, 0.000], [0.000, 0.000, 0.500], [0.500, 0.500, 0.500], [0.000, 0.000, 0.000]]
}


{
  "formula": "Mn2VCdNi",
  "functional": "GGA-PBE",
  "state": "optimized geometry",
  "e_tot_ev_per_atom": -6.0081,
  "dos_at_fermi_per_ev_fu": 3.9,
  "vol_a3_per_atom": 16.8,
  "sg": "P4/mmm",
  "cell": [[-1.451, 4.029, 0.609], [-1.809, -1.246, 3.929], [3.686, 1.021, 2.020]],
  "species": ["Ni", "V", "Mn", "Mn", "Cd"],
  "fractional_positions": [[0.000, 0.500, 0.000], [0.000, 0.000, 0.000], [0.000, 0.000, 0.500], [0.500, 0.000, 0.000], [0.500, 0.500, 0.500]]
}


{
  "formula": "LaGe2Pt5",
  "functional": "GGA-PBE",
  "state": "optimized geometry",
  "e_tot_ev_per_atom": -6.2826,
  "dos_at_fermi_per_ev_fu": 3.9,
  "vol_a3_per_atom": 18.1,
  "sg": "Immm",
  "cell": [[3.836, 0.000, 1.270], [1.331, 5.854, 2.408], [-0.013, 0.020, 6.468]],
  "species": ["Ge", "Ge", "Pt", "Pt", "Pt", "Pt", "Pt", "La"],
  "fractional_positions": [[0.249, 0.251, 0.251], [0.751, 0.749, 0.749], [0.644, 0.159, 0.553], [0.644, 0.553, 0.159], [0.356, 0.841, 0.447], [0.356, 0.447, 0.841], [0.000, 0.500, 0.500], [0.000, 0.000, 0.000]]
}


{
  "formula": "Th2InH2",
  "functional": "GGA-PBE",
  "state": "optimized geometry",
  "e_tot_ev_per_atom": -5.2148,
  "dos_at_fermi_per_ev_fu": 3.1,
  "vol_a3_per_atom": 19.5,
  "sg": "C2/c",
  "cell": [[5.984, -0.872, -0.082], [-2.096, 5.672, -0.082], [-1.746, -2.156, 6.139]],
  "species": ["H", "H", "H", "H", "Th", "Th", "Th", "Th", "In", "In"],
  "fractional_positions": [[0.250, 0.477, 0.513], [0.750, 0.523, 0.487], [0.477, 0.250, 0.013], [0.523, 0.750, 0.987], [0.211, 0.789, 0.750], [0.431, 0.569, 0.250], [0.569, 0.431, 0.750], [0.789, 0.211, 0.250], [0.886, 0.114, 0.750], [0.114, 0.886, 0.250]]
}


{
  "formula": "Na3Th5H12",
  "functional": "GGA-PBE",
  "state": "optimized geometry",
  "e_tot_ev_per_atom": -4.1980,
  "dos_at_fermi_per_ev_fu": 7.3,
  "vol_a3_per_atom": 15.9,
  "sg": "Ia-3d",
  "cell": [[-11.392, -1.170, -2.940], [1.039, 0.110, 11.777], [4.191, 10.134, -4.421]],
  "species": ["H", "H", "H", "H", "H", "H", "H", "H", "H", "H", "H", "H", "H", "H", "H", "H", "H", "H", "H", "H", "H", "H", "H", "H", "H", "H", "H", "H", "H", "H", "H", "H", "H", "H", "H", "H", "H", "H", "H", "H", "H", "H", "H", "H", "H", "H", "H", "H", "Th", "Th", "Th", "Th", "Th", "Th", "Th", "Th", "Th", "Th", "Th", "Th", "Th", "Th", "Th", "Th", "Th", "Th", "Th", "Th", "Na", "Na", "Na", "Na", "Na", "Na", "Na", "Na", "Na", "Na", "Na", "Na"],
  "fractional_positions": [[0.949, 0.337, 0.291], [0.163, 0.455, 0.113], [0.209, 0.658, 0.045], [0.955, 0.842, 0.791], [0.291, 0.837, 0.949], [0.613, 0.949, 0.658], [0.613, 0.663, 0.455], [0.113, 0.955, 0.163], [0.837, 0.291, 0.449], [0.158, 0.113, 0.949], [0.842, 0.887, 0.051], [0.045, 0.887, 0.337], [0.658, 0.449, 0.613], [0.663, 0.051, 0.209], [0.291, 0.455, 0.842], [0.791, 0.342, 0.955], [0.455, 0.163, 0.613], [0.163, 0.709, 0.551], [0.337, 0.387, 0.045], [0.342, 0.791, 0.455], [0.887, 0.045, 0.837], [0.791, 0.449, 0.337], [0.209, 0.551, 0.663], [0.551, 0.209, 0.163], [0.545, 0.837, 0.387], [0.051, 0.663, 0.709], [0.709, 0.545, 0.158], [0.887, 0.842, 0.551], [0.337, 0.949, 0.791], [0.387, 0.051, 0.342], [0.837, 0.545, 0.887], [0.342, 0.551, 0.387], [0.709, 0.163, 0.051], [0.045, 0.158, 0.209], [0.449, 0.791, 0.837], [0.663, 0.613, 0.955], [0.449, 0.658, 0.113], [0.551, 0.342, 0.887], [0.051, 0.387, 0.842], [0.658, 0.209, 0.545], [0.113, 0.158, 0.449], [0.545, 0.709, 0.658], [0.842, 0.955, 0.291], [0.955, 0.113, 0.663], [0.455, 0.291, 0.342], [0.949, 0.613, 0.158], [0.158, 0.045, 0.709], [0.387, 0.337, 0.545], [0.250, 0.375, 0.625], [0.625, 0.875, 0.250], [0.375, 0.250, 0.125], [0.875, 0.625, 0.750], [0.750, 0.125, 0.875], [0.125, 0.375, 0.250], [0.375, 0.125, 0.750], [0.250, 0.875, 0.125], [0.500, 0.500, 0.000], [0.875, 0.250, 0.625], [0.500, 0.500, 0.500], [0.000, 0.500, 0.000], [0.625, 0.750, 0.875], [0.750, 0.625, 0.375], [0.000, 0.000, 0.500], [0.125, 0.750, 0.375], [0.000, 0.000, 0.000], [0.500, 0.000, 0.500], [0.500, 0.000, 0.000], [0.000, 0.500, 0.500], [0.875, 0.125, 0.250], [0.250, 0.125, 0.375], [0.375, 0.625, 0.250], [0.625, 0.375, 0.750], [0.625, 0.250, 0.375], [0.125, 0.250, 0.875], [0.375, 0.750, 0.625], [0.250, 0.625, 0.875], [0.750, 0.375, 0.125], [0.125, 0.875, 0.750], [0.875, 0.750, 0.125], [0.750, 0.875, 0.625]]
}


{
  "formula": "TmPuMnCr",
  "functional": "GGA-PBE",
  "state": "optimized geometry",
  "e_tot_ev_per_atom": -9.1677,
  "dos_at_fermi_per_ev_fu": 7.1,
  "vol_a3_per_atom": 19.7,
  "sg": "F-43m",
  "cell": [[-1.250, -4.300, -1.763], [2.833, -2.201, -3.207], [2.469, -3.931, 1.269]],
  "species": ["Mn", "Cr", "Tm", "Pu"],
  "fractional_positions": [[0.000, 0.000, 0.000], [0.500, 0.500, 0.500], [0.750, 0.750, 0.750], [0.250, 0.250, 0.250]]
}


{
  "formula": "VSn2N2",
  "functional": "GGA-PBE",
  "state": "optimized geometry",
  "dos_at_fermi_per_ev_fu": 1.6,
  "vol_a3_per_atom": 16.9,
  "sg": "I4/mmm",
  "relative_energy_mev_per_atom": 0,
  "cell": [[5.608, 0.000, 0.000], [0.000, 5.608, 0.000], [2.804, 2.804, 2.687]],
  "species": ["V", "N", "N", "Sn", "Sn"],
  "fractional_positions": [[0.000, 0.000, 0.000], [0.389, 0.389, 0.221], [0.611, 0.611, 0.779], [0.750, 0.250, 0.500], [0.250, 0.750, 0.500]]
}